Compound: NdPd3Pb2
Source: Alexandria via LeMat-Bulk
Functional: PBE
Structure: optimized geometry

a b c (Å): 7.421 7.421 7.421
angles (deg): 106.59 91.97 132.86
Fractional positions:
1 Nd 0.471 0.221 0.250
2 Nd 0.529 0.779 0.750
3 Pd 0.000 0.000 0.500
4 Pd 0.000 0.237 0.237
5 Pd 0.000 0.500 0.000
6 Pd 0.000 0.763 0.763
7 Pd 0.500 0.237 0.737
8 Pd 0.500 0.763 0.263
9 Pb 0.145 0.729 0.416
10 Pb 0.187 0.271 0.916
11 Pb 0.813 0.729 0.084
12 Pb 0.855 0.271 0.584

The energy relative to the elements comes out at -317 meV per atom.

Compound: Rb5Cd2O4
Source: Alexandria via LeMat-Bulk
Functional: PBE
Structure: optimized geometry

a b c (Å): 11.760 11.760 11.760
angles (deg): 161.12 128.68 55.17
Fractional positions:
1 Rb 0.000 0.000 0.000
2 Rb 0.199 0.383 0.816
3 Rb 0.432 0.617 0.816
4 Rb 0.568 0.383 0.184
5 Rb 0.801 0.617 0.184
6 Cd 0.246 0.746 0.500
7 Cd 0.754 0.254 0.500
8 O 0.193 0.500 0.693
9 O 0.345 0.845 0.500
10 O 0.655 0.155 0.500
11 O 0.807 0.500 0.307

The value obtained for the uncorrected formation energy is -619.5 meV/atom.

Compound: NbAg2Cl6
Source: Alexandria via LeMat-Bulk
Functional: PBE
Structure: optimized geometry

a b c (Å): 7.208 7.208 7.208
angles (deg): 56.14 56.14 56.14
Fractional positions:
1 Nb 0.000 0.000 0.000
2 Ag 0.256 0.256 0.256
3 Ag 0.744 0.744 0.744
4 Cl 0.106 0.773 0.356
5 Cl 0.227 0.644 0.894
6 Cl 0.356 0.106 0.773
7 Cl 0.644 0.894 0.227
8 Cl 0.773 0.356 0.106
9 Cl 0.894 0.227 0.644

The calculation puts the distance to the lowest polymorph of the same formula at 0 meV per atom. The value obtained for the uncorrected formation energy is -855.1 meV/atom.

Compound: ReHg2Pt2
Source: Alexandria via LeMat-Bulk
Functional: PBE
Structure: optimized geometry

a b c (Å): 3.739 3.739 14.030
angles (deg): 90.00 90.00 90.00
Fractional positions:
1 Re 0.000 0.000 0.000
2 Re 0.500 0.500 0.500
3 Hg 0.000 0.500 0.250
4 Hg 0.000 0.500 0.750
5 Hg 0.500 0.000 0.250
6 Hg 0.500 0.000 0.750
7 Pt 0.000 0.000 0.410
8 Pt 0.000 0.000 0.590
9 Pt 0.500 0.500 0.090
10 Pt 0.500 0.500 0.910

The calculation puts the distance to the lowest polymorph of the same formula at 293 meV per atom. The energy relative to the elements comes out at 846 meV per atom.

Compound: CdHgTe2
Source: Alexandria via LeMat-Bulk
Functional: PBE
Structure: optimized geometry

a b c (Å): 4.684 8.101 7.690
angles (deg): 90.00 90.00 90.00
Fractional positions:
1 Cd 0.000 0.083 0.000
2 Cd 0.500 0.917 0.500
3 Hg 0.000 0.416 0.501
4 Hg 0.500 0.584 0.001
5 Te 0.000 0.081 0.627
6 Te 0.000 0.416 0.126
7 Te 0.500 0.584 0.626
8 Te 0.500 0.919 0.127

The calculation puts the distance to the lowest polymorph of the same formula at 6 meV per atom. The value obtained for the uncorrected formation energy is -306.3 meV/atom.

Compound: Tb4DyTm2Sc
Source: Alexandria via LeMat-Bulk
Functional: PBE
Structure: optimized geometry

a b c (Å): 4.964 4.964 9.862
angles (deg): 90.00 90.00 90.00
Fractional positions:
1 Tb 0.000 0.500 0.245
2 Tb 0.000 0.500 0.755
3 Tb 0.500 0.000 0.245
4 Tb 0.500 0.000 0.755
5 Dy 0.000 0.000 0.500
6 Tm 0.000 0.000 0.000
7 Tm 0.500 0.500 0.500
8 Sc 0.500 0.500 0.000

The energy relative to the elements comes out at 31 meV per atom.

Compound: Tb3NdAu4
Source: Alexandria via LeMat-Bulk
Functional: PBE
Structure: optimized geometry

a b c (Å): 8.969 8.969 8.969
angles (deg): 33.30 33.30 33.30
Fractional positions:
1 Tb 0.000 0.000 0.000
2 Tb 0.251 0.251 0.251
3 Tb 0.749 0.749 0.749
4 Nd 0.500 0.500 0.500
5 Au 0.121 0.121 0.121
6 Au 0.372 0.372 0.372
7 Au 0.628 0.628 0.628
8 Au 0.879 0.879 0.879

The energy relative to the elements comes out at -825 meV per atom.

Compound: CdTeMo2
Source: Alexandria via LeMat-Bulk
Functional: PBE
Structure: optimized geometry

a b c (Å): 3.395 4.847 9.148
angles (deg): 90.00 90.00 90.00
Fractional positions:
1 Cd 0.000 0.000 0.000
2 Cd 0.500 0.500 0.500
3 Te 0.000 0.000 0.500
4 Te 0.500 0.500 0.000
5 Mo 0.000 0.500 0.237
6 Mo 0.000 0.500 0.763
7 Mo 0.500 0.000 0.263
8 Mo 0.500 0.000 0.737

The calculation puts the distance to the lowest polymorph of the same formula at 436 meV per atom. The value obtained for the uncorrected formation energy is 679.6 meV/atom.

Calculated total moment (Bohr magnetons per cell), listed in the same order as above: 0.000; 1.621; 1.001; 4.975; 0.000; 0.000; 0.000; 0.000
Calculated N(E_F) (states/eV/cell), listed in the same order as above: 12.0; 4.3; 4.9; 8.1; 0.1; 12.0; 4.6; 8.5